A geometry-optimized Pr2SmInN structure, computed with PBE.

Lattice parameters (Å, degrees): 5.0876 5.0876 4.9661 90.00 90.00 90.00
Last column: nearest neighbours and their distance in Å.
Element x y z (fractional)
Pr: 0.0000 0.5000 0.0000  2 N 2.54
Pr: 0.5000 0.0000 0.0000  2 N 2.54
Sm: 0.0000 0.0000 0.5000  2 N 2.48
In: 0.5000 0.5000 0.5000  8 Pr 3.55, 4 Sm 3.60
N: 0.0000 0.0000 0.0000  2 Sm 2.48, 4 Pr 2.54



A geometry-optimized TlRhI2 structure, computed with PBE.

Computed properties:
ΔE to the lowest computed polymorph (meV/atom): 0

Lattice parameters (Å, degrees): 8.9287 8.9287 8.9287 26.09 26.09 26.09
Last column: nearest neighbours and their distance in Å.
Element x y z (fractional)
Tl: 0.0000 0.0000 0.0000  6 I 3.66, 6 Tl 4.03
Rh: 0.5000 0.5000 0.5000  6 I 2.76
I: 0.2241 0.2241 0.2241  3 Rh 2.76
I: 0.7759 0.7759 0.7759  3 Rh 2.76



Number 1: formation energy without anion corrections -853 meV per atom, uncorrected energy -5.921 eV per atom, size of the total moment 0.00 Bohr magnetons per cell. Number 2: formation energy without anion corrections -26 meV per atom, uncorrected energy -3.230 eV per atom, size of the total moment 0.01 Bohr magnetons per cell.